Y2Zn2HgPd5 | GGA-PBE | optimized geometry

Output
SG = No. 127
Calculated total energy = -4.82 eV/atom
DOS(E_F) = 5.800 states/eV per cell
ρ = 9.528 g cm⁻³
ΔE_f = -648 meV per atom

```
Y2Zn2HgPd5
1.0
9.716 0.000 0.000
0.000 9.716 0.000
0.000 0.000 3.845
Y Zn Hg Pd
4 4 2 10
direct
0.178 0.322 0.000 Y
0.322 0.822 0.000 Y
0.678 0.178 0.000 Y
0.822 0.678 0.000 Y
0.119 0.619 0.000 Zn
0.381 0.119 0.000 Zn
0.619 0.881 0.000 Zn
0.881 0.381 0.000 Zn
0.000 0.000 0.000 Hg
0.500 0.500 0.000 Hg
0.000 0.500 0.500 Pd
0.070 0.792 0.500 Pd
0.208 0.070 0.500 Pd
0.292 0.570 0.500 Pd
0.430 0.292 0.500 Pd
0.500 0.000 0.500 Pd
0.570 0.708 0.500 Pd
0.708 0.430 0.500 Pd
0.792 0.930 0.500 Pd
0.930 0.208 0.500 Pd
```

=====

YZrHgPd2 | GGA-PBE | optimized geometry

Output
SG = No. 123
Calculated total energy = -4.30 eV/atom
DOS(E_F) = 4.912 states/eV per cell
ρ = 7.272 g cm⁻³
ΔE_f = 844 meV per atom

```
YZrHgPd2
1.0
4.968 0.000 0.000
0.000 4.968 0.000
0.000 0.000 5.491
Y Zr Hg Pd
1 1 1 2
direct
0.000 0.000 0.000 Y
0.000 0.000 0.500 Zr
0.500 0.500 0.500 Hg
0.000 0.500 0.000 Pd
0.500 0.000 0.000 Pd
```

=====

ZnHgPd | GGA-PBE | optimized geometry

Output
SG = No. 156
Calculated total energy = -2.40 eV/atom
DOS(E_F) = 1.079 states/eV per cell
ρ = 11.956 g cm⁻³
ΔE_f = -145 meV per atom
Distance to the lowest polymorph of the same formula = 1.20 kcal/mol of atoms

```
ZnHgPd
1.0
4.429 0.000 0.000
-2.215 3.836 0.000
0.000 0.000 3.044
Zn Hg Pd
1 1 1
direct
0.000 0.000 0.000 Zn
0.333 0.667 0.380 Hg
0.667 0.333 0.841 Pd
```

=====

Zn4HgPd5 | GGA-PBE | optimized geometry

Output
SG = No. 123
Calculated total energy = -3.61 eV/atom
DOS(E_F) = 4.677 states/eV per cell
ρ = 10.875 g cm⁻³
ΔE_f = -476 meV per atom

```
Zn4HgPd5
1.0
3.061 0.000 0.000
0.000 3.061 0.000
0.000 0.000 16.202
Zn Hg Pd
4 1 5
direct
0.000 0.000 0.094 Zn
0.000 0.000 0.284 Zn
0.000 0.000 0.716 Zn
0.000 0.000 0.906 Zn
0.000 0.000 0.500 Hg
0.500 0.500 0.000 Pd
0.500 0.500 0.188 Pd
0.500 0.500 0.377 Pd
0.500 0.500 0.623 Pd
0.500 0.500 0.812 Pd
```

=====

- Among the records above, which one has the lowest DOS(E_F)?
  ZnHgPd

=====

- DOS(E_F) of number 2 (YZrHgPd2)?
  4.912 states/eV per cell